Entry 1:
The following is a DFT calculation (PBE) of a geometry-optimized TcPt4Pb structure.

Results
The calculation puts the total magnetic moment at 4.09 μB per formula unit. Its formation energy is 0.2404 eV per atom. The calculation puts the mass density at 16.38 Mg/m³. The calculation puts the electronic total energy at -6.13 eV/atom.

Structure (CIF):
```
data_TcPt4Pb
_chemical_formula_sum 'Tc4 Pt16 Pb4'
_space_group_name_H-M_alt 'F -4 3 m'
_space_group_IT_number 216
_space_group_name_Hall 'F -4 2 3'
_cell_length_a 7.6067
_cell_length_b 7.6067
_cell_length_c 7.6067
_cell_angle_alpha 90.00
_cell_angle_beta 90.00
_cell_angle_gamma 90.00
loop_
_atom_site_label
_atom_site_type_symbol
_atom_site_fract_x
_atom_site_fract_y
_atom_site_fract_z
_atom_site_occupancy
Tc1 Tc 0.0000 0.0000 0.0000 1
Pt1 Pt 0.1255 0.1255 0.3745 1
Pb1 Pb 0.2500 0.2500 0.7500 1
```

Entry 2:
The following is a DFT calculation (PBE) of a geometry-optimized TcPtPb2 structure.

Results
The calculation puts the total magnetic moment at 0.00 μB per formula unit. The excess energy over the best structure of this formula in the dataset comes out at 1.14 eV/f.u. Its formation energy is 0.5133 eV per atom. The calculation puts the mass density at 14.30 Mg/m³. The calculation puts the electronic total energy at -5.44 eV/atom.

Structure (CIF):
```
data_TcPtPb2
_chemical_formula_sum 'Tc2 Pt2 Pb4'
_space_group_name_H-M_alt 'C 1 2/m 1'
_space_group_IT_number 12
_space_group_name_Hall '-C 2y'
_cell_length_a 8.8651
_cell_length_b 3.4290
_cell_length_c 5.5480
_cell_angle_alpha 90.00
_cell_angle_beta 103.09
_cell_angle_gamma 90.00
loop_
_atom_site_label
_atom_site_type_symbol
_atom_site_fract_x
_atom_site_fract_y
_atom_site_fract_z
_atom_site_occupancy
Tc1 Tc 0.0000 0.0000 0.0000 1
Pt1 Pt 0.0000 0.5000 0.5000 1
Pb1 Pb 0.2487 0.5000 0.2444 1
```

Entry 3:
The following is a DFT calculation (PBE) of a geometry-optimized TcPt2Pb structure.

Results
The calculation puts the total magnetic moment at 0.00 μB per formula unit. The excess energy over the best structure of this formula in the dataset comes out at 0.51 eV/f.u. Its formation energy is 0.2345 eV per atom. The calculation puts the mass density at 16.59 Mg/m³. The calculation puts the electronic total energy at -6.30 eV/atom.

Structure (CIF):
```
data_TcPt2Pb
_chemical_formula_sum 'Tc2 Pt4 Pb2'
_space_group_name_H-M_alt 'C m m m'
_space_group_IT_number 65
_space_group_name_Hall '-C 2 2'
_cell_length_a 5.6076
_cell_length_b 8.4690
_cell_length_c 2.9307
_cell_angle_alpha 90.00
_cell_angle_beta 90.00
_cell_angle_gamma 90.00
loop_
_atom_site_label
_atom_site_type_symbol
_atom_site_fract_x
_atom_site_fract_y
_atom_site_fract_z
_atom_site_occupancy
Tc1 Tc 0.0000 0.0000 0.0000 1
Pt1 Pt 0.2500 0.2500 0.5000 1
Pb1 Pb 0.0000 0.5000 0.0000 1
```